A relaxed PaTaRu2 crystal, computed with GGA-PBE.

Properties
Raw total energy ... -10.3951 eV per atom
Symmetry ... P4/mmm, No. 123
Formation energy from the elements ... -0.420 eV per atom
Calculated density ... 14.31 Mg/m³
Calculated volume ... 71 Å³ per cell
Fermi-level density of states ... 0.868 states/eV per atom

The structure in POSCAR format:
```
PaTaRu2
1.0
-2.699 0.021 1.537
-1.512 -0.598 -2.647
0.662 -7.249 1.258
Ru Pa Ta
2 1 1
direct
0.000 0.000 0.788
0.000 0.000 0.212
0.500 0.500 0.500
0.500 0.500 0.000
```